Density functional theory data (PBE) for an optimized crystal structure of Ac4PtSeI2.

## Properties
formation energy (no corrections) = -1.272 eV/atom
total magnetization = 0.000 μB per atom

Structure (POSCAR):
```
Ac4PtSeI2
1.0
4.405 0.000 0.000
0.000 8.076 0.221
0.000 -2.758 8.204
Ac Pt Se I
4 1 1 2
Cartesian
2.202 1.380 1.713 Ac
2.202 3.937 6.713 Ac
0.000 0.100 6.666 Ac
0.000 5.217 1.759 Ac
2.202 4.038 0.111 Pt
0.000 0.000 0.000 Se
2.202 -1.379 4.102 I
0.000 2.659 4.213 I
```

Density functional theory data (PBE) for an optimized crystal structure of Ac6Pt2SeI2.

## Properties
formation energy (no corrections) = -1.119 eV/atom
total magnetization = 0.000 μB per atom

Structure (POSCAR):
```
Ac6Pt2SeI2
1.0
7.873 0.097 0.154
-3.807 6.892 0.154
-1.366 -2.348 7.701
Ac Pt Se I
6 2 1 2
Cartesian
1.858 3.194 5.701 Ac
-1.942 1.224 5.504 Ac
0.843 1.449 2.308 Ac
2.023 -1.084 5.504 Ac
4.643 3.419 2.505 Ac
0.677 5.726 2.505 Ac
-0.648 3.484 4.005 Pt
3.349 1.158 4.005 Pt
-0.683 -1.174 3.851 Se
6.039 1.164 0.154 I
-1.973 5.826 0.154 I
```

Density functional theory data (PBE) for an optimized crystal structure of Ac6Pt3Se2I.

## Properties
formation energy (no corrections) = -1.399 eV/atom
total magnetization = 0.000 μB per atom

Structure (POSCAR):
```
Ac6Pt3Se2I
1.0
4.397 0.000 0.000
0.000 9.475 -0.113
-2.199 -3.197 9.691
Ac Pt Se I
6 3 2 1
Cartesian
0.000 6.763 6.106 Ac
2.199 4.595 3.080 Ac
2.199 -0.486 3.472 Ac
2.199 -0.473 9.534 Ac
0.000 6.751 0.044 Ac
0.000 1.683 6.498 Ac
2.199 4.737 -0.057 Pt
2.199 -0.530 6.462 Pt
0.000 6.807 3.116 Pt
2.199 4.220 6.424 Se
0.000 2.057 3.154 Se
2.199 0.000 0.000 I
```

Density functional theory data (PBE) for an optimized crystal structure of Ac4PtSe2I.

## Properties
formation energy (no corrections) = -1.424 eV/atom
total magnetization = 0.000 μB per atom

Structure (POSCAR):
```
Ac4PtSe2I
1.0
4.375 0.000 0.000
0.000 7.961 -0.232
0.000 2.737 7.626
Ac Pt Se I
4 1 2 1
Cartesian
0.000 8.109 5.363 Ac
4.375 2.588 2.032 Ac
2.187 6.611 1.968 Ac
2.187 4.086 5.426 Ac
0.000 5.349 3.697 Pt
0.000 2.737 7.626 Se
2.187 1.368 3.813 Se
2.187 3.980 -0.116 I
```

Density functional theory data (PBE) for an optimized crystal structure of Ac6SiPt2I3.

## Properties
formation energy (no corrections) = -1.063 eV/atom
total magnetization = 0.000 μB per atom

Structure (POSCAR):
```
Ac6SiPt2I3
1.0
7.891 -0.007 0.000
-3.949 6.831 0.000
-1.315 -2.277 8.407
Ac Si Pt I
6 1 2 3
Cartesian
3.972 2.208 6.810 Ac
2.594 4.492 1.599 Ac
-1.346 2.340 1.597 Ac
-0.073 4.544 6.810 Ac
0.032 0.055 6.808 Ac
2.699 0.004 1.597 Ac
0.000 0.000 0.000 Si
-0.007 4.555 0.000 Pt
3.949 2.270 0.000 Pt
-2.688 4.585 4.203 I
5.314 -0.037 4.203 I
1.313 2.274 4.203 I
```

Density functional theory data (PBE) for an optimized crystal structure of Ac8Si3PtI4.

## Properties
formation energy (no corrections) = -0.956 eV/atom
total magnetization = 0.000 μB per atom

Structure (POSCAR):
```
Ac8Si3PtI4
1.0
-6.022 5.617 4.092
-6.174 -7.404 1.079
8.501 -0.884 3.392
Ac Si Pt I
8 3 1 4
Cartesian
2.544 -4.732 4.975 Ac
-1.787 -4.280 3.246 Ac
1.083 -1.179 3.213 Ac
-0.525 -1.870 7.060 Ac
-3.170 -0.801 1.503 Ac
-4.777 -1.492 5.350 Ac
-1.907 1.609 5.317 Ac
-6.238 2.061 3.588 Ac
-6.098 -0.893 2.585 Si
-1.847 -1.335 4.281 Si
1.164 -4.144 2.236 Si
-3.087 -3.702 0.539 Pt
-3.011 2.809 2.046 I
1.240 2.367 3.742 I
0.000 0.000 0.000 I
4.251 -0.442 1.696 I
```

Density functional theory data (PBE) for an optimized crystal structure of AcSmPtI.

## Properties
formation energy (no corrections) = -1.155 eV/atom
total magnetization = 0.000 μB per atom

Structure (POSCAR):
```
AcSmPtI
1.0
4.344 0.000 0.000
-2.171 3.762 0.000
-2.172 -1.253 8.361
Ac Sm Pt I
1 1 1 1
Cartesian
0.411 -0.275 5.715 Ac
-1.761 3.486 0.452 Sm
-1.761 0.979 7.382 Pt
2.582 0.980 2.920 I
```

Density functional theory data (PBE) for an optimized crystal structure of SrAcPtI.

## Properties
formation energy (no corrections) = -1.194 eV/atom
total magnetization = 0.000 μB per atom

Structure (POSCAR):
```
SrAcPtI
1.0
-1.216 -2.508 -3.463
3.100 -1.469 2.828
-6.318 -1.489 6.150
Sr Ac Pt I
1 1 1 1
Cartesian
-4.401 -2.495 2.813 Sr
2.470 -1.706 2.682 Ac
-4.210 -2.896 5.890 Pt
-2.293 -3.528 -0.033 I
```

Density functional theory data (PBE) for an optimized crystal structure of AcTbPtI.

## Properties
formation energy (no corrections) = -1.153 eV/atom
total magnetization = 0.000 μB per atom

Structure (POSCAR):
```
AcTbPtI
1.0
-1.777 2.408 -3.103
-0.296 -4.297 -0.171
-5.810 0.143 6.434
Ac Tb Pt I
1 1 1 1
Cartesian
-4.926 0.670 2.775 Ac
-0.750 -3.827 -0.112 Tb
-5.881 -1.501 4.632 Pt
-3.824 0.735 -0.800 I
```

Density functional theory data (PBE) for an optimized crystal structure of Ac2TbPt2I2.

## Properties
formation energy (no corrections) = -1.079 eV/atom
total magnetization = 0.000 μB per atom

Structure (POSCAR):
```
Ac2TbPt2I2
1.0
5.307 0.000 0.000
0.000 5.307 0.000
-2.654 -2.654 8.745
Ac Tb Pt I
2 1 2 2
Cartesian
0.000 0.000 6.860 Ac
2.654 2.654 1.885 Ac
0.000 0.000 0.000 Tb
0.000 2.654 0.000 Pt
2.654 0.000 0.000 Pt
0.000 0.000 3.363 I
2.654 2.654 5.382 I
```

Density functional theory data (PBE) for an optimized crystal structure of Ac8TcPt3I4.

## Properties
formation energy (no corrections) = -1.045 eV/atom
total magnetization = 0.000 μB per atom

Structure (POSCAR):
```
Ac8TcPt3I4
1.0
-0.829 -8.252 -3.193
-0.840 -3.540 9.366
-5.820 6.286 -2.366
Ac Tc Pt I
8 1 3 4
Cartesian
-6.363 1.771 3.433 Ac
-3.370 -1.461 4.650 Ac
-3.643 0.061 0.790 Ac
-6.789 -2.471 1.791 Ac
-0.700 -3.035 2.015 Ac
-3.846 -5.567 3.017 Ac
-4.119 -4.045 -0.844 Ac
-1.126 -7.277 0.373 Ac
-0.420 -1.770 4.683 Tc
-0.835 -5.896 3.086 Pt
-3.745 -2.753 1.903 Pt
-3.330 1.373 3.500 Pt
-0.415 -4.126 -1.597 I
-3.325 -0.983 -2.780 I
0.000 0.000 0.000 I
-2.910 3.143 -1.183 I
```

Density functional theory data (PBE) for an optimized crystal structure of Ac6TePt2I3.

## Properties
formation energy (no corrections) = -1.193 eV/atom
total magnetization = 0.000 μB per atom

Structure (POSCAR):
```
Ac6TePt2I3
1.0
8.043 0.015 -0.001
-4.007 6.974 -0.001
-1.348 -2.333 8.321
Ac Te Pt I
6 1 2 3
Cartesian
4.150 2.095 6.690 Ac
2.563 4.438 1.609 Ac
-1.461 2.560 1.628 Ac
-0.259 4.642 6.690 Ac
0.126 0.218 6.709 Ac
2.948 0.014 1.628 Ac
0.000 0.000 0.000 Te
0.001 4.660 -0.001 Pt
4.036 2.329 -0.001 Pt
-2.808 4.726 4.159 I
5.497 -0.071 4.159 I
1.344 2.328 4.159 I
```

Density functional theory data (PBE) for an optimized crystal structure of Ac8Te4Pt3I.

## Properties
formation energy (no corrections) = -1.292 eV/atom
total magnetization = 0.000 μB per atom

Structure (POSCAR):
```
Ac8Te4Pt3I
1.0
-6.873 4.188 -4.257
3.837 -2.293 -8.453
-1.720 -6.686 5.938
Ac Te Pt I
8 4 3 1
Cartesian
-0.627 -7.112 -1.440 Ac
0.176 -3.991 -4.211 Ac
-1.602 -3.096 -0.459 Ac
-3.836 -5.157 -3.427 Ac
-0.921 0.367 -3.345 Ac
-3.154 -1.695 -6.313 Ac
-4.932 -0.800 -2.561 Ac
-4.129 2.322 -5.332 Ac
-3.437 2.094 -2.128 Te
-4.297 -1.249 0.841 Te
0.000 0.000 0.000 Te
-0.860 -3.343 2.969 Te
-1.518 0.948 -6.355 Pt
-2.378 -2.395 -3.386 Pt
1.059 -4.489 -1.258 Pt
1.919 -1.146 -4.226 I
```

Density functional theory data (PBE) for an optimized crystal structure of Ac6Te2Pt3I.

## Properties
formation energy (no corrections) = -1.318 eV/atom
total magnetization = 0.000 μB per atom

Structure (POSCAR):
```
Ac6Te2Pt3I
1.0
-2.459 3.127 -2.005
-3.097 -6.562 -6.435
-5.183 -1.318 9.248
Ac Te Pt I
6 2 3 1
Cartesian
-7.017 -5.998 -0.749 Ac
-5.136 -2.321 -2.268 Ac
-3.721 1.245 1.557 Ac
-8.395 -0.054 5.264 Ac
-2.343 -4.700 -4.457 Ac
-5.602 -2.433 3.076 Ac
-7.621 -2.684 0.213 Te
-3.117 -2.070 0.594 Te
-2.778 -1.718 -4.220 Pt
-6.028 0.626 3.422 Pt
-4.710 -5.380 -2.614 Pt
-1.229 1.563 -1.002 I
```

Density functional theory data (PBE) for an optimized crystal structure of Ac4TlPtI2.

## Properties
formation energy (no corrections) = -0.896 eV/atom
total magnetization = 0.000 μB per atom

Structure (POSCAR):
```
Ac4TlPtI2
1.0
4.479 0.000 0.000
0.000 8.424 0.299
0.000 -2.806 8.339
Ac Tl Pt I
4 1 1 2
Cartesian
2.239 1.633 1.829 Ac
2.239 3.985 6.809 Ac
0.000 0.152 6.854 Ac
0.000 5.465 1.783 Ac
0.000 0.000 0.000 Tl
2.239 4.212 0.149 Pt
2.239 -1.403 4.169 I
0.000 2.809 4.319 I
```

Density functional theory data (PBE) for an optimized crystal structure of Ac6TlPt2I3.

## Properties
formation energy (no corrections) = -1.011 eV/atom
total magnetization = 0.000 μB per atom

Structure (POSCAR):
```
Ac6TlPt2I3
1.0
4.500 0.000 0.000
0.000 10.172 -0.050
-2.250 -3.361 10.231
Ac Tl Pt I
6 1 2 3
Cartesian
0.000 6.539 6.869 Ac
2.250 4.380 3.682 Ac
2.250 0.272 3.312 Ac
0.000 2.392 0.429 Ac
2.250 4.419 9.753 Ac
0.000 2.431 6.499 Ac
2.250 0.000 0.000 Tl
2.250 4.481 6.717 Pt
0.000 2.329 3.464 Pt
2.250 5.086 -0.025 I
2.250 -0.614 6.958 I
0.000 7.424 3.223 I
```

Density functional theory data (PBE) for an optimized crystal structure of AcYPtI.

## Properties
formation energy (no corrections) = -1.140 eV/atom
total magnetization = 0.000 μB per atom

Structure (POSCAR):
```
AcYPtI
1.0
4.304 0.000 0.000
-2.151 3.727 0.000
-2.152 -1.242 8.289
Ac Y Pt I
1 1 1 1
Cartesian
0.407 -0.272 5.660 Ac
-1.745 3.454 0.450 Y
-1.745 0.970 7.356 Pt
2.558 0.970 2.861 I
```

Density functional theory data (PBE) for an optimized crystal structure of Ac6ZnPt2I3.

## Properties
formation energy (no corrections) = -0.984 eV/atom
total magnetization = 0.000 μB per atom

Structure (POSCAR):
```
Ac6ZnPt2I3
1.0
7.867 -0.001 -0.002
-3.932 6.813 -0.002
-1.314 -2.275 8.519
Ac Zn Pt I
6 1 2 3
Cartesian
3.987 2.166 6.887 Ac
2.568 4.446 1.620 Ac
-1.367 2.371 1.629 Ac
-0.117 4.536 6.887 Ac
0.053 0.091 6.897 Ac
2.737 0.000 1.629 Ac
0.000 0.000 0.000 Zn
-0.003 4.544 -0.002 Pt
3.937 2.268 -0.002 Pt
-2.676 4.570 4.258 I
5.296 -0.033 4.258 I
1.310 2.268 4.258 I
```

Density functional theory data (PBE) for an optimized crystal structure of Ac8ZnPt3I4.

## Properties
formation energy (no corrections) = -1.045 eV/atom
total magnetization = 0.000 μB per atom

Structure (POSCAR):
```
Ac8ZnPt3I4
1.0
9.054 0.000 0.000
0.000 10.025 0.697
-4.527 -4.541 6.394
Ac Zn Pt I
8 1 3 4
Cartesian
-2.185 2.560 6.568 Ac
0.000 4.753 3.482 Ac
0.000 0.659 3.669 Ac
2.185 2.560 6.568 Ac
2.342 2.924 0.524 Ac
4.527 4.825 3.422 Ac
4.527 0.732 3.609 Ac
6.713 2.924 0.524 Ac
0.000 5.013 0.348 Zn
4.527 5.013 0.348 Pt
2.264 2.742 3.546 Pt
-2.264 2.742 3.546 Pt
4.527 0.000 0.000 I
2.264 -2.270 3.197 I
0.000 0.000 0.000 I
-2.264 -2.270 3.197 I
```

Density functional theory data (PBE) for an optimized crystal structure of AcPu2I8.

## Properties
formation energy (no corrections) = -1.143 eV/atom
total magnetization = 1.000 μB per atom

Structure (POSCAR):
```
AcPu2I8
1.0
8.775 1.163 0.995
2.187 8.430 1.348
2.187 2.638 8.119
Ac Pu I
1 2 8
Cartesian
0.000 0.000 0.000 Ac
4.410 1.932 1.653 Pu
8.739 10.299 8.809 Pu
8.474 4.432 7.003 I
4.676 4.626 7.169 I
7.058 3.280 2.805 I
6.091 8.952 7.656 I
8.474 7.606 3.293 I
4.676 7.800 3.459 I
2.808 3.823 3.270 I
10.341 8.409 7.192 I
```